The following is a PBE-GGA calculation of TbNpTlO6 after structural relaxation, from Alexandria.

Results
SG = P-31c (163)
Size of the total moment = 2.0 μB/cell
E_form (uncorrected) = -227 kJ per mole of atoms
DOS(E_F) = 0.085 states/eV per atom

```
TbNpTlO6
1.0
5.612 0.000 0.000
-2.806 4.861 0.000
0.000 0.000 9.955
O Np Tb Tl
12 2 2 2
direct
0.029 0.674 0.868
0.971 0.645 0.368
0.674 0.645 0.132
0.674 0.029 0.368
0.971 0.326 0.132
0.355 0.029 0.132
0.029 0.355 0.632
0.645 0.971 0.868
0.326 0.355 0.868
0.326 0.971 0.632
0.645 0.674 0.632
0.355 0.326 0.368
0.667 0.333 0.250
0.333 0.667 0.750
0.000 0.000 0.500
0.000 0.000 0.000
0.667 0.333 0.750
0.333 0.667 0.250
```